1.
A plane-wave DFT calculation with PBE-GGA was carried out for crystalline LaBeNiPd2 at its relaxed geometry.

abc: 4.4526 4.4526 4.2883
angles: 90.00 90.00 90.00
Positions (direct):
Pd (0.0000, 0.5000, 0.0000)
La (0.5000, 0.5000, 0.5000)
Pd (0.5000, 0.0000, 0.0000)
Be (0.0000, 0.0000, 0.0000)
Ni (0.0000, 0.0000, 0.5000)

Results
Symmetry: P4/mmm
Total energy: -5.44 eV per atom
Formation enthalpy at 0 K: -0.47 eV/atom
Total magnetization: 0.0 μB per cell
V: 85.02 Å³/f.u.

2.
A plane-wave DFT calculation with PBE-GGA was carried out for crystalline Mg2GaAg7Sb2 at its relaxed geometry.

abc: 4.2584 4.2584 14.4810
angles: 73.35 73.35 91.13
Positions (direct):
Ga (0.0000, 0.0000, 0.0000)
Ag (0.5000, 0.5000, 0.0000)
Sb (0.6867, 0.6867, 0.3129)
Ag (0.3480, 0.8484, 0.1514)
Mg (0.8124, 0.8124, 0.6883)
Sb (0.3133, 0.3133, 0.6871)
Ag (0.1516, 0.6520, 0.8486)
Mg (0.1876, 0.1876, 0.3117)
Ag (0.6520, 0.1516, 0.8486)
Ag (0.2411, 0.2411, 0.5000)
Ag (0.8484, 0.3480, 0.1514)
Ag (0.7589, 0.7589, 0.5000)

Results
E_form (uncorrected): -0.06 eV/atom
Symmetry: C2/m
Total energy: -2.93 eV per atom
Total magnetization: 0.0 μB per cell
V: 239.55 Å³/f.u.

3.
A plane-wave DFT calculation with PBE-GGA was carried out for crystalline RbLaTe2Au at its relaxed geometry.

abc: 5.0358 8.9052 8.8666
angles: 98.32 90.00 90.00
Positions (direct):
La (0.4928, 0.0000, 0.2500)
Rb (0.8340, 0.5000, 0.2500)
Rb (0.1660, 0.5000, 0.7500)
Te (0.3192, 0.2455, 0.0325)
Te (0.6808, 0.7545, 0.9675)
La (0.5072, 0.0000, 0.7500)
Te (0.6808, 0.2455, 0.5325)
Te (0.3192, 0.7545, 0.4675)
Au (0.0000, 0.0000, 0.0000)
Au (0.0000, 0.0000, 0.5000)

Results
E_form (uncorrected): -0.95 eV/atom
Symmetry: P2/c
Total energy: -4.04 eV per atom
Total magnetization: 0.0 μB per cell
V: 196.72 Å³/f.u.

4.
A plane-wave DFT calculation with PBE-GGA was carried out for crystalline Ac2PaSe6 at its relaxed geometry.

abc: 4.2735 8.0815 8.0815
angles: 120.00 90.00 90.00
Positions (direct):
Se (0.5000, 0.3954, 0.3954)
Se (0.5000, 0.6047, 0.0000)
Se (0.0000, 0.0000, 0.2402)
Se (0.0000, 0.7598, 0.7598)
Se (0.5000, 0.0000, 0.6046)
Se (0.0000, 0.2402, 0.0000)
Ac (0.0000, 0.3333, 0.6667)
Ac (0.0000, 0.6667, 0.3333)
Pa (0.5000, 0.0000, 0.0000)

Results
E_form (uncorrected): -1.63 eV/atom
Symmetry: P-62m
Total energy: -5.92 eV per atom
E above lowest polymorph: 0.000 eV/f.u.
Total magnetization: 0.0 μB per cell
V: 241.71 Å³/f.u.

5.
A plane-wave DFT calculation with PBE-GGA was carried out for crystalline TaCd3N at its relaxed geometry.

abc: 5.4376 5.4376 5.4376
angles: 90.00 90.00 90.00
Positions (direct):
Cd (0.0000, 0.5000, 0.0000)
Ta (0.0000, 0.0000, 0.0000)
Cd (0.0000, 0.0000, 0.5000)
N (0.5000, 0.5000, 0.5000)
Cd (0.5000, 0.0000, 0.0000)

Results
E_form (uncorrected): 2.30 eV/atom
Symmetry: Pm-3m
Total energy: -2.28 eV per atom
E above lowest polymorph: 5.899 eV/f.u.
Total magnetization: 0.0 μB per cell
V: 160.78 Å³/f.u.

6.
A plane-wave DFT calculation with PBE-GGA was carried out for crystalline Li2CrIn at its relaxed geometry.

abc: 2.7402 2.7402 8.9317
angles: 90.00 90.00 90.00
Positions (direct):
Li (0.0000, 0.0000, 0.4871)
In (0.5000, 0.5000, 0.7500)
Li (0.0000, 0.0000, 0.0129)
Cr (0.5000, 0.5000, 0.2500)

Results
Symmetry: P4/mmm
Total energy: -3.61 eV per atom
Formation enthalpy at 0 K: 0.44 eV/atom
Total magnetization: 1.2 μB per cell
V: 67.07 Å³/f.u.